Record 1
DFT (GGA-PBE) results for a geometry-optimized Nd2Ho2Pb2C structure.

Output
density: 8.9 g/cm³
total magnetization: 0.0 μB/f.u.
VASP energy: -5.64 eV/atom
DOS(E_F): 1.10 states/eV per cell
ΔE_f: -399 kJ/mol of formula units

a = 4.8469 Å, b = 4.8469 Å, c = 16.6252 Å
α = 90.00°, β = 90.00°, γ = 90.00°
Closest atoms and distances in Å follow each position.
Space group I4/mmm (No. 139)
One atom of each set of equivalent atoms:
Nd 0.0000 0.0000 0.1592 [4 per cell]  1 C 2.65
Ho 0.0000 0.5000 0.0000 [4 per cell]  2 C 2.42
Pb 0.0000 0.0000 0.3621 [4 per cell]  4 Ho 3.34, 5 Nd 3.37-3.45
C 0.0000 0.0000 0.0000 [2 per cell]  4 Ho 2.42, 2 Nd 2.65

Record 2
DFT (GGA-PBE) results for a geometry-optimized Nd2HoPbC structure.

Output
density: 8.6 g/cm³
total magnetization: 0.0 μB/f.u.
VASP energy: -5.85 eV/atom
DOS(E_F): 2.30 states/eV per cell
ΔE_f: -213 kJ/mol of formula units

a = 5.1409 Å, b = 5.1409 Å, c = 4.9031 Å
α = 90.00°, β = 90.00°, γ = 90.00°
Closest atoms and distances in Å follow each position.
Space group P4/mmm (No. 123)
One atom of each set of equivalent atoms:
Nd 0.0000 0.5000 0.0000 [2 per cell]  2 C 2.57
Ho 0.0000 0.0000 0.5000 [1 per cell]  2 C 2.45
Pb 0.5000 0.5000 0.5000 [1 per cell]  8 Nd 3.55, 4 Ho 3.64
C 0.0000 0.0000 0.0000 [1 per cell]  2 Ho 2.45, 4 Nd 2.57

Record 3
DFT (GGA-PBE) results for a geometry-optimized Nd2Ho2Sb2C structure.

Output
density: 7.8 g/cm³
total magnetization: 0.0 μB/f.u.
ΔE_f (raw): -0.844 eV per atom
VASP energy: -6.01 eV/atom
DOS(E_F): 12.81 states/eV per cell

a = 4.7726 Å, b = 4.7726 Å, c = 16.3474 Å
α = 90.00°, β = 90.00°, γ = 90.00°
Closest atoms and distances in Å follow each position.
Space group I4/mmm (No. 139)
One atom of each set of equivalent atoms:
Nd 0.0000 0.0000 0.1631 [4 per cell]  1 C 2.67
Ho 0.0000 0.5000 0.0000 [4 per cell]  2 C 2.39
Sb 0.0000 0.0000 0.3635 [4 per cell]  4 Ho 3.27, 5 Nd 3.28-3.40
C 0.0000 0.0000 0.0000 [2 per cell]  4 Ho 2.39, 2 Nd 2.67

Record 4
DFT (GGA-PBE) results for a geometry-optimized NdHoCSe structure.

Output
density: 7.8 g/cm³
total magnetization: 0.0 μB/f.u.
ΔE_f (raw): -1.042 eV per atom
VASP energy: -6.56 eV/atom
DOS(E_F): 0.29 states/eV per cell

a = 3.7983 Å, b = 3.7983 Å, c = 20.5703 Å
α = 90.00°, β = 90.00°, γ = 120.00°
Closest atoms and distances in Å follow each position.
Space group R3m (No. 160, hexagonal axes)
One atom of each set of equivalent atoms:
Nd 0.0000 0.0000 0.0000 [3 per cell]  3 C 2.62
Ho 0.0000 0.0000 0.8009 [3 per cell]  3 C 2.57
C 0.0000 0.0000 0.4028 [3 per cell]  3 Ho 2.57, 3 Nd 2.62
Se 0.0000 0.0000 0.2277 [3 per cell]  3 Ho 2.92, 3 Nd 3.09

Record 5
DFT (GGA-PBE) results for a geometry-optimized NdHo2SnC structure.

Output
density: 8.3 g/cm³
total magnetization: 0.0 μB/f.u.
VASP energy: -6.00 eV/atom
DOS(E_F): 2.16 states/eV per cell
ΔE_f: -276 kJ/mol of formula units

a = 4.8809 Å, b = 4.8809 Å, c = 5.0965 Å
α = 90.00°, β = 90.00°, γ = 90.00°
Closest atoms and distances in Å follow each position.
Space group P4/mmm (No. 123)
One atom of each set of equivalent atoms:
Nd 0.0000 0.0000 0.0000 [1 per cell]  2 C 2.55
Ho 0.0000 0.5000 0.5000 [2 per cell]  2 C 2.44
Sn 0.5000 0.5000 0.0000 [1 per cell]  4 Nd 3.45, 8 Ho 3.53
C 0.0000 0.0000 0.5000 [1 per cell]  4 Ho 2.44, 2 Nd 2.55

Record 6
DFT (GGA-PBE) results for a geometry-optimized Nd3HoSn2C structure.

Output
density: 7.1 g/cm³
total magnetization: 0.0 μB/f.u.
VASP energy: -5.77 eV/atom
DOS(E_F): 2.16 states/eV per cell
ΔE_f: -410 kJ/mol of formula units

a = 4.8389 Å, b = 4.9839 Å, c = 16.5358 Å
α = 90.00°, β = 90.00°, γ = 90.00°
Closest atoms and distances in Å follow each position.
Space group Immm (No. 71)
One atom of each set of equivalent atoms:
Nd 0.0000 0.0000 0.0000 [2 per cell]  2 C 2.49
Nd 0.0000 0.5000 0.1614 [4 per cell]  1 C 2.67
Ho 0.0000 0.0000 0.5000 [2 per cell]  2 C 2.42
Sn 0.0000 0.5000 0.3622 [4 per cell]  7 Nd 3.32-3.50, 2 Ho 3.38
C 0.0000 0.5000 0.0000 [2 per cell]  2 Ho 2.42, 4 Nd 2.49-2.67

Record 7
DFT (GGA-PBE) results for a geometry-optimized Nd2HoTlC structure.

Output
density: 8.6 g/cm³
total magnetization: 0.0 μB/f.u.
VASP energy: -5.47 eV/atom
DOS(E_F): 2.26 states/eV per cell
ΔE_f: -160 kJ/mol of formula units

a = 5.1416 Å, b = 5.1416 Å, c = 4.9036 Å
α = 90.00°, β = 90.00°, γ = 90.00°
Closest atoms and distances in Å follow each position.
Space group P4/mmm (No. 123)
One atom of each set of equivalent atoms:
Nd 0.0000 0.5000 0.0000 [2 per cell]  2 C 2.57
Ho 0.0000 0.0000 0.5000 [1 per cell]  2 C 2.45
Tl 0.5000 0.5000 0.5000 [1 per cell]  8 Nd 3.55, 4 Ho 3.64
C 0.0000 0.0000 0.0000 [1 per cell]  2 Ho 2.45, 4 Nd 2.57

Record 8
DFT (GGA-PBE) results for a geometry-optimized Ho4Ni2C structure.

Output
density: 8.6 g/cm³
total magnetization: 0.0 μB/f.u.
VASP energy: -5.72 eV/atom
DOS(E_F): 13.36 states/eV per cell
ΔE_f: -88 kJ/mol of formula units

a = 4.7976 Å, b = 4.7976 Å, c = 13.2777 Å
α = 90.00°, β = 90.00°, γ = 90.00°
Closest atoms and distances in Å follow each position.
Space group I4/mmm (No. 139)
One atom of each set of equivalent atoms:
Ho 0.0000 0.0000 0.1824 [4 per cell]  1 C 2.42, 1 Ni 2.64
Ho 0.0000 0.5000 0.0000 [4 per cell]  2 C 2.40
Ni 0.0000 0.0000 0.3816 [4 per cell]  5 Ho 2.64-2.87
C 0.0000 0.0000 0.0000 [2 per cell]  6 Ho 2.40-2.42